[1]
Material: BaSb2Pt
Method: DFT, PBE
State: optimized geometry

Calculated values
- Magnetic moment: 0.0 μB/f.u.
- Space group: Cmmm, No. 65
- Formation energy from raw total energies: -0.2 eV/f.u.
- Calculated total energy: -4.106 eV/atom

Unit cell a=6.5976 b=10.0306 c=3.2920 alpha=90.00 beta=90.00 gamma=90.00
Last column: nearest neighbours and their distance in Å.
Fractional positions:
1 Ba 0.0000 0.0000 0.0000  2 Ba 3.29, 2 Pt 3.30, 8 Sb 3.42
2 Ba 0.5000 0.5000 0.0000  2 Ba 3.29, 2 Pt 3.30, 8 Sb 3.42
3 Sb 0.2500 0.2500 0.5000  4 Sb 3.29-3.30, 4 Ba 3.42, 4 Pt 3.42
4 Sb 0.2500 0.7500 0.5000  4 Sb 3.29-3.30, 4 Ba 3.42, 4 Pt 3.42
5 Sb 0.7500 0.2500 0.5000  4 Sb 3.29-3.30, 4 Ba 3.42, 4 Pt 3.42
6 Sb 0.7500 0.7500 0.5000  4 Sb 3.29-3.30, 4 Ba 3.42, 4 Pt 3.42
7 Pt 0.0000 0.5000 0.0000  2 Pt 3.29, 2 Ba 3.30, 8 Sb 3.42
8 Pt 0.5000 0.0000 0.0000  2 Pt 3.29, 2 Ba 3.30, 8 Sb 3.42

=====

[2]
Material: Ba3Sb5Pt6
Method: DFT, PBE
State: optimized geometry

Calculated values
- Magnetic moment: 0.0 μB/f.u.
- Space group: Pmmn, No. 59
- Formation energy from raw total energies: -10.3 eV/f.u.
- Calculated total energy: -5.211 eV/atom

Unit cell a=4.5890 b=13.8024 c=11.2225 alpha=90.00 beta=90.00 gamma=90.00
Last column: nearest neighbours and their distance in Å.
Fractional positions:
1 Ba 0.2500 0.0932 0.2442  7 Pt 3.47-3.78, 6 Sb 3.53-3.61
2 Ba 0.2500 0.4068 0.2442  7 Pt 3.47-3.78, 6 Sb 3.53-3.61
3 Ba 0.2500 0.7500 0.2464  6 Sb 3.41-3.52, 10 Pt 3.49-3.71
4 Ba 0.7500 0.2500 0.7536  6 Sb 3.41-3.52, 10 Pt 3.49-3.71
5 Ba 0.7500 0.5932 0.7558  7 Pt 3.47-3.78, 6 Sb 3.53-3.61
6 Ba 0.7500 0.9068 0.7558  7 Pt 3.47-3.78, 6 Sb 3.53-3.61
7 Sb 0.2500 0.0810 0.6371  5 Pt 2.68-2.74
8 Sb 0.2500 0.4190 0.6371  5 Pt 2.68-2.74
9 Sb 0.2500 0.6120 0.9943  5 Pt 2.77-2.99
10 Sb 0.2500 0.7500 0.5992  4 Pt 2.65-2.75
11 Sb 0.2500 0.8880 0.9943  5 Pt 2.77-2.99
12 Sb 0.7500 0.1120 0.0057  5 Pt 2.77-2.99
13 Sb 0.7500 0.2500 0.4008  4 Pt 2.65-2.75
14 Sb 0.7500 0.3880 0.0057  5 Pt 2.77-2.99
15 Sb 0.7500 0.5810 0.3629  5 Pt 2.68-2.74
16 Sb 0.7500 0.9190 0.3629  5 Pt 2.68-2.74
17 Pt 0.2500 0.0658 0.8805  4 Sb 2.74-2.77, 1 Pt 2.82
18 Pt 0.2500 0.2500 0.5188  4 Sb 2.65-2.68
19 Pt 0.2500 0.2500 0.9900  2 Pt 2.82, 4 Sb 2.99
20 Pt 0.2500 0.4342 0.8805  4 Sb 2.74-2.77, 1 Pt 2.82
21 Pt 0.2500 0.5717 0.4896  4 Sb 2.68-2.75
22 Pt 0.2500 0.9283 0.4896  4 Sb 2.68-2.75
23 Pt 0.7500 0.0717 0.5104  4 Sb 2.68-2.75
24 Pt 0.7500 0.4283 0.5104  4 Sb 2.68-2.75
25 Pt 0.7500 0.5658 0.1195  4 Sb 2.74-2.77, 1 Pt 2.82
26 Pt 0.7500 0.7500 0.0100  2 Pt 2.82, 4 Sb 2.99
27 Pt 0.7500 0.7500 0.4812  4 Sb 2.65-2.68
28 Pt 0.7500 0.9342 0.1195  4 Sb 2.74-2.77, 1 Pt 2.82

=====

[3]
Material: Ba3SbPt8
Method: DFT, PBE
State: optimized geometry

Calculated values
- Magnetic moment: 0.0 μB/f.u.
- Space group: R3m, No. 160
- Formation energy from raw total energies: -7.0 eV/f.u.
- Calculated total energy: -5.433 eV/atom

Unit cell a=9.6988 b=9.6988 c=9.6988 alpha=34.39 beta=34.39 gamma=34.39
Last column: nearest neighbours and their distance in Å.
Fractional positions:
1 Ba 0.0000 0.0000 0.0000  12 Pt 3.30-3.36, 4 Ba 3.54-3.61
2 Ba 0.1296 0.1296 0.1296  12 Pt 3.18-3.38, 3 Sb 3.33, 1 Ba 3.54
3 Ba 0.6140 0.6140 0.6140  9 Pt 3.19-3.43
4 Sb 0.4753 0.4753 0.4753  3 Pt 2.72
5 Pt 0.0572 0.5673 0.5673  1 Sb 2.72, 6 Pt 2.81-2.93
6 Pt 0.0634 0.0634 0.5608  6 Pt 2.74-2.88
7 Pt 0.0634 0.5608 0.0634  6 Pt 2.74-2.88
8 Pt 0.3131 0.3131 0.3131  6 Pt 2.82-2.85
9 Pt 0.5608 0.0634 0.0634  6 Pt 2.74-2.88
10 Pt 0.5673 0.0572 0.5673  1 Sb 2.72, 6 Pt 2.81-2.93
11 Pt 0.5673 0.5673 0.0572  1 Sb 2.72, 6 Pt 2.81-2.93
12 Pt 0.8161 0.8161 0.8161  6 Pt 2.74-2.85

=====

[4]
Material: Ba3Sb4Pt2
Method: DFT, PBE
State: optimized geometry

Calculated values
- Magnetic moment: 0.0 μB/f.u.
- Space group: C2/m, No. 12
- Formation energy from raw total energies: -7.6 eV/f.u.
- Calculated total energy: -4.665 eV/atom

Unit cell a=6.8143 b=6.8143 c=9.6930 alpha=108.94 beta=108.94 gamma=41.63
Last column: nearest neighbours and their distance in Å.
Fractional positions:
1 Ba 0.0000 0.0000 0.0000  8 Sb 3.56-3.91
2 Ba 0.3871 0.3871 0.3200  8 Sb 3.54-3.79, 4 Pt 3.60-3.75, 1 Ba 3.67
3 Ba 0.6129 0.6129 0.6800  8 Sb 3.54-3.79, 4 Pt 3.60-3.75, 1 Ba 3.67
4 Sb 0.1305 0.1305 0.4077  3 Pt 2.67-2.80
5 Sb 0.2820 0.2820 0.9232  1 Pt 2.69
6 Sb 0.7180 0.7180 0.0768  1 Pt 2.69
7 Sb 0.8695 0.8695 0.5923  3 Pt 2.67-2.80
8 Pt 0.3180 0.3180 0.6657  4 Sb 2.67-2.80
9 Pt 0.6820 0.6820 0.3343  4 Sb 2.67-2.80

=====

> Number 4 is which compound?

Ba3Sb4Pt2

=====

> Look up the calculated total energy of the fourth one.

-4.665 eV/atom

=====

> Which value of calculated total energy does entry 4 give?

-4.665 eV/atom